# La4CeZn

An optimized crystal structure of La4CeZn (PBE-GGA, Alexandria via LeMat-Bulk).

Values from the calculation:
The calculation puts the final energy at -27.346 eV per formula unit. The value obtained for the size of the total moment is 0.0 μB/f.u. For the density of states at the Fermi level, the calculation gives 1.65 states/eV/atom. The calculation puts the volume at 190 Å³/f.u.

Lattice parameters (Å, degrees): 3.6695 3.6695 14.1354 90.00 90.00 90.00
Closest atoms and distances in Å follow each position.
Space group P4/mmm (No. 123)
Asymmetric unit:
La (0.0000, 0.0000, 0.1345) [2 per cell]  4 Zn 3.22
La (0.5000, 0.5000, 0.3340) [2 per cell]  4 Ce 3.50, 8 La 3.67-3.83
Ce (0.0000, 0.0000, 0.5000) [1 per cell]  8 La 3.50, 4 Ce 3.67
Zn (0.5000, 0.5000, 0.0000) [1 per cell]  8 La 3.22